Entry 1:
# NiPW2 (PBE, optimized geometry)
data_NiPW2
_cell_length_a 3.222
_cell_length_b 4.394
_cell_length_c 7.937
_cell_angle_alpha 90.00
_cell_angle_beta 90.00
_cell_angle_gamma 90.00
_symmetry_space_group_name_H-M 'I m m m'
_symmetry_Int_Tables_number 71
_symmetry_space_group_name_Hall '-I 2 2'
loop_
_atom_site_label
_atom_site_type_symbol
_atom_site_fract_x
_atom_site_fract_y
_atom_site_fract_z
Ni1 Ni 0.000 0.000 0.000
P1 P 0.000 0.000 0.500
W1 W 0.000 0.500 0.227
# DFT formation energy = 0.110 eV per atom
# Fermi-level density of states = 2.9 states/eV/f.u.

Entry 2:
# Rb4C3 (PBE, optimized geometry)
data_Rb4C3
_cell_length_a 7.071
_cell_length_b 7.071
_cell_length_c 7.071
_cell_angle_alpha 90.00
_cell_angle_beta 90.00
_cell_angle_gamma 90.00
_symmetry_space_group_name_H-M 'P -4 3 m'
_symmetry_Int_Tables_number 215
_symmetry_space_group_name_Hall 'P -4 2 3'
loop_
_atom_site_label
_atom_site_type_symbol
_atom_site_fract_x
_atom_site_fract_y
_atom_site_fract_z
Rb1 Rb 0.240 0.240 0.240
C1 C 0.000 0.000 0.500
# DFT formation energy = 2.011 eV per atom
# Fermi-level density of states = 0.5 states/eV/f.u.
# E above lowest polymorph = 74 meV/atom

Look up the DFT formation energy of the second one. 2.011 eV per atom